Here is TaTe2Pt after structural relaxation from Alexandria via LeMat-Bulk. Energies are from GGA-PBE.

Cell: 3.9213 3.9716 7.2661 Å, 90.00 100.28 90.00°
Fractional positions:
Ta (0.0000, 0.0000, 0.0000)
Te (0.4794, 0.0000, 0.6954)
Te (0.8569, 0.5000, 0.2581)
Pt (0.4106, 0.5000, 0.9356)

Summary:
Its space-group type is No. 6. The value obtained for the total DFT energy (no corrections) is -25.15 eV per cell. The density of states at the Fermi level is 0.540 states/eV/atom.